No. 1
A relaxed structure of La3Pr2Ag3, computed with GGA-PBE.

Its density is 7045 kg/m3. The volume is 30.1 A^3/atom.

It has space group Immm (No. 71), with a = 3.835 Å, b = 5.545 Å, c = 22.659 Å, α = 90.00°, β = 90.00° and γ = 90.00°. The inequivalent atoms are La at (0.000, 0.000, 0.000), La at (0.000, 0.500, 0.120), Pr at (0.000, 0.000, 0.230), Ag at (0.000, 0.000, 0.500) and Ag at (0.000, 0.500, 0.383).


No. 2
A relaxed structure of La9Pr4Ag11, computed with GGA-PBE.

Its density is 7407 kg/m3. The volume is 28.0 A^3/atom.

It has space group Cmmm (No. 65), with a = 15.647 Å, b = 23.195 Å, c = 3.706 Å, α = 90.00°, β = 90.00° and γ = 90.00°. The inequivalent atoms are La at (0.000, 0.000, 0.000), La at (0.114, 0.246, 0.000), La at (0.128, 0.417, 0.000), Pr at (0.147, 0.095, 0.000), Ag at (0.000, 0.146, 0.500), Ag at (0.000, 0.337, 0.500), Ag at (0.000, 0.500, 0.500), Ag at (0.236, 0.000, 0.500) and Ag at (0.240, 0.320, 0.500).


no.,raw total energy (eV for the cell shown),ΔE_f (meV/atom)
1,-68.61,-176
2,-198.26,-179